Computed, not measured: a relaxed Os2Cl crystal at the PBE-GGA level of DFT.

E_form (uncorrected): 1176 meV/atom

```
Os2Cl
1.0
4.013 -7.546 2.721
-0.606 -8.883 1.087
0.086 8.168 -3.705
Os Cl
4 2
direct
0.716 0.966 0.750
0.571 0.821 0.750
0.284 0.034 0.250
0.429 0.179 0.250
0.082 0.332 0.750
0.918 0.668 0.250
```

Computed, not measured: a relaxed Os5Cl crystal at the PBE-GGA level of DFT.

E_form (uncorrected): 1242 meV/atom

```
Os5Cl
1.0
-4.764 -1.286 -1.167
3.814 -3.168 -1.063
-0.479 -1.957 4.115
Os Cl
5 1
direct
0.500 0.000 0.500
0.000 0.500 0.500
0.500 0.500 0.500
0.333 0.667 0.000
0.667 0.333 0.000
0.000 0.000 0.000
```

Computed, not measured: a relaxed OsCl5 crystal at the PBE-GGA level of DFT.

E_form (uncorrected): -8 meV/atom

```
OsCl5
1.0
1.513 7.387 -1.012
-1.513 7.387 -1.012
0.000 0.984 7.181
Cl Os
5 1
direct
0.359 0.359 0.294
0.660 0.660 0.712
0.672 0.672 0.315
0.853 0.853 0.681
0.035 0.035 0.981
0.253 0.253 0.517
```

Computed, not measured: a relaxed OsCl2 crystal at the PBE-GGA level of DFT.

E_form (uncorrected): 209 meV/atom

```
OsCl2
1.0
3.679 0.000 0.000
0.000 5.424 0.000
0.000 0.000 5.547
Cl Os
4 2
direct
0.500 0.243 0.149
0.000 0.743 0.351
0.000 0.257 0.649
0.500 0.757 0.851
0.000 0.000 0.000
0.500 0.500 0.500
```

Computed, not measured: a relaxed Os5Cl4 crystal at the PBE-GGA level of DFT.

E_form (uncorrected): 1132 meV/atom

```
Os5Cl4
1.0
-5.090 5.090 1.397
5.090 -5.090 1.397
5.090 5.090 -1.397
Cl Os
4 5
direct
0.000 0.299 0.299
0.701 0.000 0.701
0.000 0.701 0.701
0.299 0.000 0.299
0.666 0.666 0.332
0.334 0.666 0.000
0.334 0.334 0.668
0.000 0.000 0.000
0.666 0.334 0.000
```

Computed, not measured: a relaxed Os5Cl crystal at the PBE-GGA level of DFT.

E_form (uncorrected): 1545 meV/atom

```
Os5Cl
1.0
-4.346 -2.645 -0.909
-3.005 -1.465 3.941
-4.595 2.253 0.722
Os Cl
5 1
direct
0.874 0.375 0.375
0.375 0.874 0.375
0.750 0.750 0.750
0.375 0.375 0.375
0.375 0.375 0.874
0.000 0.000 0.000
```

Computed, not measured: a relaxed OsCl3 crystal at the PBE-GGA level of DFT.

E_form (uncorrected): 1348 meV/atom

```
OsCl3
1.0
-1.817 4.404 -0.966
0.601 -2.236 -4.274
-2.808 -1.117 0.189
Os Cl
1 3
direct
0.000 0.000 0.000
0.500 0.000 0.500
0.500 0.500 0.000
0.000 0.500 0.500
```

Computed, not measured: a relaxed OsCl3 crystal at the PBE-GGA level of DFT.

E_form (uncorrected): 808 meV/atom

```
OsCl3
1.0
3.050 0.000 0.000
0.000 3.050 0.000
0.000 0.000 8.715
Cl Os
3 1
direct
0.000 0.000 0.918
0.500 0.500 0.250
0.000 0.000 0.582
0.500 0.500 0.750
```

Computed, not measured: a relaxed OsCl3 crystal at the PBE-GGA level of DFT.

E_form (uncorrected): 1201 meV/atom

```
OsCl3
1.0
0.000 3.354 3.354
3.354 0.000 3.354
3.354 3.354 0.000
Cl Os
3 1
direct
0.750 0.750 0.750
0.250 0.250 0.250
0.000 0.000 0.000
0.500 0.500 0.500
```

Computed, not measured: a relaxed OsCl3 crystal at the PBE-GGA level of DFT.

E_form (uncorrected): 1276 meV/atom

```
OsCl3
1.0
5.100 0.030 0.077
-2.150 4.625 0.077
-2.150 -3.391 3.145
Cl Os
3 1
direct
0.000 0.000 0.000
0.500 0.500 0.000
0.000 0.500 0.500
0.500 0.000 0.500
```

Computed, not measured: a relaxed OsCl3 crystal at the PBE-GGA level of DFT.

E_form (uncorrected): 142 meV/atom

```
OsCl3
1.0
-6.375 -1.493 -5.129
5.293 -2.846 -5.750
-0.760 -4.490 -4.492
Cl Os
6 2
direct
0.875 0.014 0.750
0.500 0.500 0.000
0.375 0.236 0.750
0.986 0.625 0.250
0.764 0.125 0.250
0.250 0.750 0.500
0.750 0.250 0.500
0.000 0.000 0.000
```

Computed, not measured: a relaxed Os4Cl crystal at the PBE-GGA level of DFT.

E_form (uncorrected): 2164 meV/atom

```
Os4Cl
1.0
4.296 0.000 0.000
0.000 4.296 0.000
0.000 0.000 4.296
Os Cl
4 1
direct
0.500 0.000 0.500
0.000 0.000 0.000
0.000 0.500 0.500
0.500 0.500 0.000
0.500 0.500 0.500
```

Computed, not measured: a relaxed OsCl2 crystal at the PBE-GGA level of DFT.

E_form (uncorrected): 748 meV/atom

```
OsCl2
1.0
-3.061 3.061 2.853
3.061 -3.061 2.853
3.061 3.061 -2.853
Os Cl
2 4
direct
0.250 0.250 0.000
0.750 0.750 0.000
0.794 0.706 0.500
0.206 0.294 0.500
0.294 0.794 0.087
0.706 0.206 0.913
```

Computed, not measured: a relaxed Os3Cl2 crystal at the PBE-GGA level of DFT.

E_form (uncorrected): 1083 meV/atom

```
Os3Cl2
1.0
-1.686 2.804 1.767
1.179 0.448 -3.498
-7.504 -2.700 -2.875
Os Cl
3 2
direct
0.333 0.667 0.558
0.667 0.333 0.442
0.000 0.000 0.000
0.333 0.667 0.863
0.667 0.333 0.137
```

Computed, not measured: a relaxed Os2Cl crystal at the PBE-GGA level of DFT.

E_form (uncorrected): 376 meV/atom

```
Os2Cl
1.0
1.419 4.419 0.031
-1.419 4.419 0.031
0.000 0.473 10.318
Os Cl
4 2
direct
0.590 0.590 0.836
0.132 0.132 0.042
0.868 0.868 0.958
0.410 0.410 0.164
0.119 0.119 0.647
0.881 0.881 0.353
```

Computed, not measured: a relaxed OsCl3 crystal at the PBE-GGA level of DFT.

E_form (uncorrected): 375 meV/atom

```
OsCl3
1.0
-1.298 2.560 -1.407
-1.064 -1.458 2.637
5.984 6.266 5.880
Cl Os
3 1
direct
0.000 0.000 0.071
0.500 0.500 0.750
0.000 0.000 0.429
0.500 0.500 0.250
```

Computed, not measured: a relaxed OsCl3 crystal at the PBE-GGA level of DFT.

E_form (uncorrected): 1045 meV/atom

```
OsCl3
1.0
4.016 -11.769 3.640
4.525 -8.880 8.281
-6.842 9.662 -5.266
Cl Os
6 2
direct
0.750 0.250 0.500
0.000 0.500 0.500
0.144 0.144 0.000
0.500 0.000 0.500
0.250 0.750 0.500
0.856 0.856 0.000
0.306 0.306 0.000
0.694 0.694 0.000
```

Computed, not measured: a relaxed OsCl3 crystal at the PBE-GGA level of DFT.

E_form (uncorrected): 194 meV/atom

```
OsCl3
1.0
7.291 0.004 0.003
5.192 5.120 -0.003
-5.806 -3.624 2.515
Os Cl
1 3
direct
0.250 0.750 0.500
0.390 0.390 0.000
0.110 0.110 0.000
0.750 0.250 0.500
```

Computed, not measured: a relaxed OsCl2 crystal at the PBE-GGA level of DFT.

E_form (uncorrected): 147 meV/atom

```
OsCl2
1.0
1.783 -6.581 0.000
1.783 6.581 0.000
0.000 0.000 2.878
Os Cl
1 2
direct
0.000 0.000 0.500
0.384 0.616 0.500
0.616 0.384 0.500
```

Computed, not measured: a relaxed OsCl5 crystal at the PBE-GGA level of DFT.

E_form (uncorrected): 1010 meV/atom

```
OsCl5
1.0
2.497 -4.325 0.000
2.497 4.325 0.000
0.000 0.000 7.854
Cl Os
5 1
direct
0.000 0.500 0.500
0.333 0.667 0.000
0.500 0.500 0.500
0.667 0.333 0.000
0.500 0.000 0.500
0.000 0.000 0.000
```

Number 1: density 13.64 g cm⁻³. Number 2: density 16.06 g cm⁻³. Number 3: density 3.73 g cm⁻³. Number 4: density 7.83 g cm⁻³. Number 5: density 12.53 g cm⁻³. Number 6: density 16.79 g cm⁻³. Number 7: density 7.19 g cm⁻³. Number 8: density 6.07 g cm⁻³. Number 9: density 6.53 g cm⁻³. Number 10: density 6.39 g cm⁻³. Number 11: density 5.66 g cm⁻³. Number 12: density 16.68 g cm⁻³. Number 13: density 8.11 g cm⁻³. Number 14: density 10.49 g cm⁻³. Number 15: density 10.68 g cm⁻³. Number 16: density 5.72 g cm⁻³. Number 17: density 5.16 g cm⁻³. Number 18: density 5.25 g cm⁻³. Number 19: density 6.42 g cm⁻³. Number 20: density 3.60 g cm⁻³.